# DyGa2AgPd2

Crystalline DyGa2AgPd2 at its relaxed geometry (PBE, Alexandria via LeMat-Bulk).

abc: 4.4310 4.4310 6.4290
angles: 90.00 90.00 120.00
Closest atoms and distances in Å follow each position.
Element x y z (fractional)
1 Ga 0.6667 0.3333 0.2926  4 Pd 2.56-2.75
2 Ga 0.3333 0.6667 0.7074  4 Pd 2.56-2.75
3 Pd 0.3333 0.6667 0.2793  4 Ga 2.56-2.75
4 Pd 0.6667 0.3333 0.7207  4 Ga 2.56-2.75
5 Dy 0.0000 0.0000 0.0000  6 Pd 3.13, 6 Ga 3.18, 2 Ag 3.21
6 Ag 0.0000 0.0000 0.5000  6 Ga 2.88, 6 Pd 2.93, 2 Dy 3.21

Summary:
ΔH_f (0 K) = -60.9 kJ per mole of atoms
total magnetization = 0.0 μB per formula unit
DOS at the Fermi energy = 2.67 states/eV/f.u.